VASP calculation (PBE) on a geometry-optimized AuCBr2 structure.

Cell lengths 9.573, 9.573, 9.573 Å; angles 19.83, 19.83, 19.83 degrees
Positions (direct):
Br: 0.885 0.885 0.885
Br: 0.115 0.115 0.115
C: 0.500 0.500 0.500
Au: 0.000 0.000 0.000

Values from the calculation:
energy relative to the elements, uncorrected: 1.425 eV/atom
energy above the lowest structure with this stoichiometry: 0 meV per atom